# Tl2NiO2 | the Alexandria database | PBE+U | optimized geometry
# - calculated volume (Å³ per cell) = 281.9
# - electronic total energy (eV/atom) = -3.8963
# - distance to the lowest polymorph of the same formula (meV/atom) = 0
data_Tl2NiO2
_chemical_formula_sum 'Tl4 Ni2 O4'
_cell_length_a 5.307
_cell_length_b 5.307
_cell_length_c 10.008
_cell_angle_alpha 90.00
_cell_angle_beta 90.00
_cell_angle_gamma 90.00
_symmetry_space_group_name_H-M 'I 4/m m m'
_symmetry_Int_Tables_number 139
_symmetry_space_group_name_Hall '-I 4 2'
loop_
_atom_site_label
_atom_site_fract_x
_atom_site_fract_y
_atom_site_fract_z
Tl1 0.000 0.500 0.250
Ni1 0.000 0.000 0.000
O1 0.000 0.000 0.172